VASP calculation (PBE) on a relaxed AlSbSe2 crystal. Values from VASP.

Calculated values
Total magnetization   0.00 μB per cell
Volume   24.7 A^3/atom
Raw formation energy   -0.155 eV per atom
Total energy   -3.86 eV/atom

```
&SYSTEM
  ibrav = 0, nat = 4, ntyp = 3
/
ATOMIC_SPECIES
Al 26.98 Al.upf
Sb 121.76 Sb.upf
Se 78.96 Se.upf
CELL_PARAMETERS angstrom
6.678 0.009 0.009
4.134 5.244 -0.009
-5.110 -3.236 2.830
ATOMIC_POSITIONS crystal
Al 0.468 0.468 0.000
Sb 0.668 0.168 0.500
Se 0.328 0.828 0.500
Se 0.036 0.036 0.000
```